# ScCoHg2

An optimized crystal structure of ScCoHg2 (PBEsol, the Alexandria database).

total magnetization	0.10	μB/atom
final energy	-4.002	eV per atom
DOS(E_F)	2.1	states/eV/f.u.
energy of formation	-0.1330	eV per atom
calculated density	11.75	Mg/m³

Unit cell a=3.142 b=3.142 c=7.235 alpha=90.00 beta=90.00 gamma=90.00
Space group P4mm (No. 99)
Inequivalent atoms, fractional coordinates:
1 Sc 0.000 0.000 0.000 x1
2 Co 0.500 0.500 0.189 x1
3 Hg 0.000 0.000 0.412 x1
4 Hg 0.500 0.500 0.712 x1